(1)
An optimized crystal structure of KScPt2. Source: Alexandria via LeMat-Bulk, functional PBE-GGA.

abc: 3.1713 3.3932 8.0168
angles: 90.00 90.21 90.00
Last column: nearest neighbours and their distance in Å.
Fractional positions:
K: 0.0000 0.0000 0.0000  4 K 3.17-3.39, 8 Pt 3.39-3.41
Sc: 0.0000 0.0000 0.5000  8 Pt 2.78
Pt: 0.4981 0.5000 0.3101  4 Sc 2.78, 1 Pt 3.05
Pt: 0.5019 0.5000 0.6899  4 Sc 2.78, 1 Pt 3.05

Results
* energy of formation: -0.6768 eV/atom
* ρ: 9.1 Mg/m³
* DOS at the Fermi energy: 0.484 states/eV per atom
* M_tot: 0.0 μB per cell


(2)
An optimized crystal structure of Ga2ReTc2. Source: Alexandria via LeMat-Bulk, functional PBE-GGA.

abc: 6.8631 6.8631 3.1025
angles: 90.00 90.00 90.00
Last column: nearest neighbours and their distance in Å.
Fractional positions:
Ga: 0.1356 0.3644 0.0000  6 Tc 2.49-2.58, 1 Ga 2.63, 2 Re 2.67
Ga: 0.3644 0.8644 0.0000  6 Tc 2.49-2.58, 1 Ga 2.63, 2 Re 2.67
Ga: 0.6356 0.1356 0.0000  6 Tc 2.49-2.58, 1 Ga 2.63, 2 Re 2.67
Ga: 0.8644 0.6356 0.0000  6 Tc 2.49-2.58, 1 Ga 2.63, 2 Re 2.67
Re: 0.0000 0.0000 0.0000  4 Ga 2.67
Re: 0.5000 0.5000 0.0000  4 Ga 2.67
Tc: 0.1633 0.6633 0.5000  6 Ga 2.49-2.58
Tc: 0.3367 0.1633 0.5000  6 Ga 2.49-2.58
Tc: 0.6633 0.8367 0.5000  6 Ga 2.49-2.58
Tc: 0.8367 0.3367 0.5000  6 Ga 2.49-2.58

Results
* distance to the lowest polymorph of the same formula: 20.0 kJ per mole of atoms
* energy of formation: 0.1632 eV/atom
* ρ: 11.9 Mg/m³
* DOS at the Fermi energy: 0.590 states/eV per atom
* M_tot: 0.0 μB per cell


(3)
An optimized crystal structure of Sr3CuPt2. Source: Alexandria via LeMat-Bulk, functional PBE-GGA.

abc: 12.1263 4.4278 12.2404
angles: 90.00 90.00 90.00
Last column: nearest neighbours and their distance in Å.
Fractional positions:
Sr: 0.0553 0.2500 0.1223  1 Cu 3.13, 5 Pt 3.24-3.32
Sr: 0.1193 0.7500 0.5570  3 Cu 3.12-3.20, 5 Pt 3.14-3.27
Sr: 0.2046 0.2500 0.8047  2 Cu 3.11, 4 Pt 3.15-3.22
Sr: 0.2954 0.7500 0.3047  2 Cu 3.11, 4 Pt 3.15-3.22
Sr: 0.3807 0.2500 0.0570  3 Cu 3.12-3.20, 5 Pt 3.14-3.27
Sr: 0.4447 0.7500 0.6223  1 Cu 3.13, 5 Pt 3.24-3.32
Sr: 0.5553 0.2500 0.3777  1 Cu 3.13, 5 Pt 3.24-3.32
Sr: 0.6193 0.7500 0.9430  3 Cu 3.12-3.20, 5 Pt 3.14-3.27
Sr: 0.7046 0.2500 0.6953  2 Cu 3.11, 4 Pt 3.15-3.22
Sr: 0.7954 0.7500 0.1953  2 Cu 3.11, 4 Pt 3.15-3.22
Sr: 0.8807 0.2500 0.4430  3 Cu 3.12-3.20, 5 Pt 3.14-3.27
Sr: 0.9447 0.7500 0.8777  1 Cu 3.13, 5 Pt 3.24-3.32
Cu: 0.1271 0.2500 0.3683  3 Pt 2.59-2.60
Cu: 0.3729 0.7500 0.8683  3 Pt 2.59-2.60
Cu: 0.6271 0.2500 0.1317  3 Pt 2.59-2.60
Cu: 0.8729 0.7500 0.6317  3 Pt 2.59-2.60
Pt: 0.0301 0.7500 0.3163  2 Cu 2.59
Pt: 0.1952 0.7500 0.9872  1 Cu 2.60
Pt: 0.3048 0.2500 0.4872  1 Cu 2.60
Pt: 0.4699 0.2500 0.8163  2 Cu 2.59
Pt: 0.5301 0.7500 0.1837  2 Cu 2.59
Pt: 0.6952 0.7500 0.5128  1 Cu 2.60
Pt: 0.8048 0.2500 0.0128  1 Cu 2.60
Pt: 0.9699 0.2500 0.6837  2 Cu 2.59

Results
* energy of formation: -0.6268 eV/atom
* ρ: 7.2 Mg/m³
* DOS at the Fermi energy: 0.546 states/eV per atom
* M_tot: 0.0 μB per cell


(4)
An optimized crystal structure of K2NbAgS4. Source: Alexandria via LeMat-Bulk, functional PBE-GGA.

abc: 13.3513 11.9039 7.3700
angles: 84.19 62.50 33.31
Last column: nearest neighbours and their distance in Å.
Fractional positions:
K: 0.0552 0.0552 0.6948  8 S 3.39-3.77
K: 0.3052 0.3052 0.9448  8 S 3.39-3.77
K: 0.6948 0.6948 0.0552  8 S 3.39-3.77
K: 0.9448 0.9448 0.3052  8 S 3.39-3.77
Nb: 0.1250 0.1250 0.1250  4 S 2.31
Nb: 0.8750 0.8750 0.8750  4 S 2.31
Ag: 0.3750 0.3750 0.3750  4 S 2.57
Ag: 0.6250 0.6250 0.6250  4 S 2.57
S: 0.0709 0.2951 0.3841  1 Nb 2.31, 1 Ag 2.57
S: 0.2501 0.6159 0.7049  1 Nb 2.31, 1 Ag 2.57
S: 0.2951 0.0709 0.7499  1 Nb 2.31, 1 Ag 2.57
S: 0.3841 0.7499 0.0709  1 Nb 2.31, 1 Ag 2.57
S: 0.6159 0.2501 0.9291  1 Nb 2.31, 1 Ag 2.57
S: 0.7049 0.9291 0.2501  1 Nb 2.31, 1 Ag 2.57
S: 0.7499 0.3841 0.2951  1 Nb 2.31, 1 Ag 2.57
S: 0.9291 0.7049 0.6159  1 Nb 2.31, 1 Ag 2.57

Results
* distance to the lowest polymorph of the same formula: 0.0 kJ per mole of atoms
* ρ: 2.9 Mg/m³
* E_form (uncorrected): -97 kJ/mol of atoms
* DOS at the Fermi energy: 0.000 states/eV per atom
* M_tot: 0.0 μB per cell


(5)
An optimized crystal structure of Na2TmAgI6. Source: Alexandria via LeMat-Bulk, functional PBE-GGA.

abc: 7.8940 7.8954 8.7741
angles: 90.03 116.69 119.99
Last column: nearest neighbours and their distance in Å.
Fractional positions:
Na: 0.0000 0.0000 0.0000  6 I 3.17-3.29
Na: 0.0380 0.5192 0.5565  6 I 3.18-3.37
Tm: 0.6458 0.3234 0.9690  6 I 2.94-3.12
Ag: 0.4731 0.7372 0.2098  3 I 2.79
I: 0.1249 0.4109 0.2380  1 Ag 2.79, 1 Tm 3.12
I: 0.1857 0.2417 0.7627  1 Tm 2.94, 2 Na 3.17-3.18
I: 0.5214 0.9450 0.7626  1 Tm 2.94, 2 Na 3.18
I: 0.5235 0.1136 0.2383  1 Ag 2.79, 1 Tm 3.12
I: 0.8176 0.5770 0.7622  1 Tm 2.94, 2 Na 3.17-3.18
I: 0.8274 0.7150 0.2382  1 Ag 2.79, 1 Tm 3.12

Results
* ρ: 4.4 Mg/m³
* E_form (uncorrected): -105 kJ/mol of atoms
* DOS at the Fermi energy: 0.000 states/eV per atom
* M_tot: 0.0 μB per cell


(6)
An optimized crystal structure of ZnNiOs2. Source: Alexandria via LeMat-Bulk, functional PBE-GGA.

abc: 2.7423 4.4557 4.5082
angles: 90.00 90.00 90.00
Last column: nearest neighbours and their distance in Å.
Fractional positions:
Zn: 0.0000 0.0000 0.0000  4 Os 2.62, 4 Ni 2.64, 2 Zn 2.74
Ni: 0.5000 0.0000 0.5000  4 Os 2.62, 4 Zn 2.64, 2 Ni 2.74
Os: 0.0000 0.5000 0.5000  4 Ni 2.62, 6 Os 2.64-2.74
Os: 0.5000 0.5000 0.0000  4 Zn 2.62, 6 Os 2.64-2.74

Results
* energy of formation: 0.3386 eV/atom
* ρ: 15.2 Mg/m³
* DOS at the Fermi energy: 1.623 states/eV per atom
* M_tot: 0.0 μB per cell


Which formula does entry 4 have? K2NbAgS4


What is the M_tot in the second record? 0.0 μB per cell